No. 1
# Ba2Hg6PdAu (PBE-GGA, relaxed)
# DFT total energy, eV per atom: -1.718
# N(E_F), states/eV per cell: 25.46
# Total moment, Bohr magnetons per cell: 0.00
# E_form, eV/atom: -0.305
data_Ba2Hg6PdAu
_symmetry_space_group_name_H-M 'F m -3 m'
_symmetry_Int_Tables_number 225
_symmetry_space_group_name_Hall '-F 4 2 3'
_cell_length_a 10.750
_cell_length_b 10.750
_cell_length_c 10.750
_cell_angle_alpha 90.00
_cell_angle_beta 90.00
_cell_angle_gamma 90.00
loop_
_atom_site_label
_atom_site_type_symbol
_atom_site_fract_x
_atom_site_fract_y
_atom_site_fract_z
Ba1 Ba 0.250 0.250 0.250
Hg1 Hg 0.000 0.000 0.247
Pd1 Pd 0.000 0.000 0.000
Au1 Au 0.000 0.000 0.500

---

No. 2
# PuNi4As2 (PBE-GGA, relaxed)
# DFT total energy, eV per atom: -7.174
# N(E_F), states/eV per cell: 27.60
# Total moment, Bohr magnetons per cell: 10.43
# E_form, eV/atom: -0.495
data_PuNi4As2
_symmetry_space_group_name_H-M 'P 42/m n m'
_symmetry_Int_Tables_number 136
_symmetry_space_group_name_Hall '-P 4n 2n'
_cell_length_a 7.281
_cell_length_b 7.281
_cell_length_c 3.793
_cell_angle_alpha 90.00
_cell_angle_beta 90.00
_cell_angle_gamma 90.00
loop_
_atom_site_label
_atom_site_type_symbol
_atom_site_fract_x
_atom_site_fract_y
_atom_site_fract_z
Pu1 Pu 0.000 0.000 0.000
Ni1 Ni 0.090 0.349 0.500
As1 As 0.217 0.783 0.500

---

No. 3
# Y2Er2Mg (PBE-GGA, relaxed)
# DFT total energy, eV per atom: -4.525
# N(E_F), states/eV per cell: 35.61
# E above lowest polymorph, meV per atom: 222.9
# Total moment, Bohr magnetons per cell: 0.00
# E_form, eV/atom: 0.205
data_Y2Er2Mg
_symmetry_space_group_name_H-M 'I 41/a m d'
_symmetry_Int_Tables_number 141
_cell_length_a 5.110
_cell_length_b 5.110
_cell_length_c 24.868
_cell_angle_alpha 90.00
_cell_angle_beta 90.00
_cell_angle_gamma 90.00
loop_
_symmetry_equiv_pos_as_xyz
'x,y,z'
'-x,-y,-z'
'-y+1/4,x+3/4,z+1/4'
'y+1/4,-x+3/4,-z+1/4'
'-x+1/2,-y,z+1/2'
'x+1/2,y,-z+1/2'
'y+1/4,-x+1/4,z+3/4'
'-y+1/4,x+1/4,-z+3/4'
'x,-y,-z'
'-x,y,z'
'-y+1/4,-x+1/4,-z+3/4'
'y+1/4,x+1/4,z+3/4'
'-x+1/2,y,-z+1/2'
'x+1/2,-y,z+1/2'
'y+1/4,x+3/4,-z+1/4'
'-y+1/4,-x+3/4,z+1/4'
'x+1/2,y+1/2,z+1/2'
'-x+1/2,-y+1/2,-z+1/2'
'-y+3/4,x+1/4,z+3/4'
'y+3/4,-x+1/4,-z+3/4'
'-x,-y+1/2,z'
'x,y+1/2,-z'
'y+3/4,-x+3/4,z+1/4'
'-y+3/4,x+3/4,-z+1/4'
'x+1/2,-y+1/2,-z+1/2'
'-x+1/2,y+1/2,z+1/2'
'-y+3/4,-x+3/4,-z+1/4'
'y+3/4,x+3/4,z+1/4'
'-x,y+1/2,-z'
'x,-y+1/2,z'
'y+3/4,x+1/4,-z+3/4'
'-y+3/4,-x+1/4,z+3/4'
loop_
_atom_site_label
_atom_site_type_symbol
_atom_site_fract_x
_atom_site_fract_y
_atom_site_fract_z
Y1 Y 0.000 0.250 0.047
Er1 Er 0.000 0.250 0.201
Mg1 Mg 0.000 0.250 0.875

---

No. 4
# TbTm2Si6 (PBE-GGA, relaxed)
# DFT total energy, eV per atom: -5.619
# ΔE_f (raw), meV/atom: -495.7
# N(E_F), states/eV per cell: 3.90
# Total moment, Bohr magnetons per cell: 0.00
data_TbTm2Si6
_symmetry_space_group_name_H-M 'P 6/m m m'
_symmetry_Int_Tables_number 191
_symmetry_space_group_name_Hall '-P 6 2'
_cell_length_a 7.1002
_cell_length_b 7.1002
_cell_length_c 3.8699
_cell_angle_alpha 90.00
_cell_angle_beta 90.00
_cell_angle_gamma 120.00
loop_
_atom_site_label
_atom_site_type_symbol
_atom_site_fract_x
_atom_site_fract_y
_atom_site_fract_z
Tb1 Tb 0.0000 0.0000 0.0000
Tm1 Tm 0.3333 0.6667 0.0000
Si1 Si 0.0000 0.3345 0.5000

---

No. 5
# Cd2Ag2RhO6 (PBE-GGA, relaxed)
# DFT total energy, eV per atom: -4.560
# ΔE_f (raw), meV/atom: -502.3
# N(E_F), states/eV per cell: 14.25
# Total moment, Bohr magnetons per cell: 5.16
data_Cd2Ag2RhO6
_symmetry_space_group_name_H-M 'C 1 2/m 1'
_symmetry_Int_Tables_number 12
_cell_length_a 5.740
_cell_length_b 10.057
_cell_length_c 6.144
_cell_angle_alpha 90.00
_cell_angle_beta 93.04
_cell_angle_gamma 90.00
loop_
_symmetry_equiv_pos_as_xyz
'x,y,z'
'-x,-y,-z'
'-x,y,-z'
'x,-y,z'
'x+1/2,y+1/2,z'
'-x+1/2,-y+1/2,-z'
'-x+1/2,y+1/2,-z'
'x+1/2,-y+1/2,z'
loop_
_atom_site_label
_atom_site_type_symbol
_atom_site_fract_x
_atom_site_fract_y
_atom_site_fract_z
Cd1 Cd 0.000 0.165 0.000
Ag1 Ag 0.000 0.355 0.500
Rh1 Rh 0.000 0.500 0.000
O1 O 0.134 0.351 0.820
O2 O 0.211 0.000 0.830

---

No. 6
# HfGa2Cl6 (PBE-GGA, relaxed)
# DFT total energy, eV per atom: -4.383
# ΔE_f (raw), meV/atom: -1373.0
# N(E_F), states/eV per cell: 0.00
# Total moment, Bohr magnetons per cell: 0.00
data_HfGa2Cl6
_symmetry_space_group_name_H-M 'P 1 21/c 1'
_symmetry_Int_Tables_number 14
_cell_length_a 6.934
_cell_length_b 7.916
_cell_length_c 11.858
_cell_angle_alpha 90.00
_cell_angle_beta 121.75
_cell_angle_gamma 90.00
loop_
_symmetry_equiv_pos_as_xyz
'x,y,z'
'-x,-y,-z'
'-x,y+1/2,-z+1/2'
'x,-y+1/2,z+1/2'
loop_
_atom_site_label
_atom_site_type_symbol
_atom_site_fract_x
_atom_site_fract_y
_atom_site_fract_z
Hf1 Hf 0.000 0.000 0.000
Ga1 Ga 0.312 0.102 0.786
Cl1 Cl 0.104 0.054 0.230
Cl2 Cl 0.233 0.743 0.073
Cl3 Cl 0.333 0.165 0.038

---

No. 7
# RbAc2Mg (PBE-GGA, relaxed)
# DFT total energy, eV per atom: -2.459
# N(E_F), states/eV per cell: 15.07
# Total moment, Bohr magnetons per cell: 0.00
# E_form, eV/atom: 0.235
data_RbAc2Mg
_symmetry_space_group_name_H-M 'R -3 m'
_symmetry_Int_Tables_number 166
_symmetry_space_group_name_Hall '-R 3 2"'
_cell_length_a 3.9556
_cell_length_b 3.9556
_cell_length_c 41.3544
_cell_angle_alpha 90.00
_cell_angle_beta 90.00
_cell_angle_gamma 120.00
loop_
_atom_site_label
_atom_site_type_symbol
_atom_site_fract_x
_atom_site_fract_y
_atom_site_fract_z
Rb1 Rb 0.0000 0.0000 0.0000
Ac1 Ac 0.0000 0.0000 0.1014
Mg1 Mg 0.0000 0.0000 0.5000

---

No. 8
# Zr3Br (PBE-GGA, relaxed)
# DFT total energy, eV per atom: -6.614
# ΔE_f (raw), meV/atom: 215.5
# N(E_F), states/eV per cell: 10.84
# E above lowest polymorph, meV per atom: 467.4
# Total moment, Bohr magnetons per cell: 0.00
data_Zr3Br
_symmetry_space_group_name_H-M 'I 4/m m m'
_symmetry_Int_Tables_number 139
_symmetry_space_group_name_Hall '-I 4 2'
_cell_length_a 4.369
_cell_length_b 4.369
_cell_length_c 9.431
_cell_angle_alpha 90.00
_cell_angle_beta 90.00
_cell_angle_gamma 90.00
loop_
_atom_site_label
_atom_site_type_symbol
_atom_site_fract_x
_atom_site_fract_y
_atom_site_fract_z
Zr1 Zr 0.000 0.000 0.000
Zr2 Zr 0.000 0.500 0.250
Br1 Br 0.000 0.000 0.500

---

No. 9
# NaCr2Fe (PBE-GGA, relaxed)
# DFT total energy, eV per atom: -5.736
# N(E_F), states/eV per cell: 26.53
# E above lowest polymorph, meV per atom: 361.0
# Total moment, Bohr magnetons per cell: 0.02
# E_form, eV/atom: 1.521
data_NaCr2Fe
_symmetry_space_group_name_H-M 'I -4 2 d'
_symmetry_Int_Tables_number 122
_symmetry_space_group_name_Hall 'I -4 2bw'
_cell_length_a 4.333
_cell_length_b 4.333
_cell_length_c 15.663
_cell_angle_alpha 90.00
_cell_angle_beta 90.00
_cell_angle_gamma 90.00
loop_
_atom_site_label
_atom_site_type_symbol
_atom_site_fract_x
_atom_site_fract_y
_atom_site_fract_z
Na1 Na 0.000 0.000 0.000
Cr1 Cr 0.024 0.250 0.625
Fe1 Fe 0.000 0.000 0.500

---

No. 10
# ZrZn2Fe (PBE-GGA, relaxed)
# DFT total energy, eV per atom: -4.649
# N(E_F), states/eV per cell: 12.78
# Total moment, Bohr magnetons per cell: 0.01
# E_form, eV/atom: 0.241
data_ZrZn2Fe
_symmetry_space_group_name_H-M 'I -4 2 d'
_symmetry_Int_Tables_number 122
_symmetry_space_group_name_Hall 'I -4 2bw'
_cell_length_a 3.670
_cell_length_b 3.670
_cell_length_c 19.437
_cell_angle_alpha 90.00
_cell_angle_beta 90.00
_cell_angle_gamma 90.00
loop_
_atom_site_label
_atom_site_type_symbol
_atom_site_fract_x
_atom_site_fract_y
_atom_site_fract_z
Zr1 Zr 0.000 0.000 0.000
Zn1 Zn 0.222 0.250 0.625
Fe1 Fe 0.000 0.000 0.500

---

No. 11
# KCaO (PBE-GGA, relaxed)
# DFT total energy, eV per atom: -4.417
# ΔE_f (raw), meV/atom: -1731.7
# N(E_F), states/eV per cell: 2.23
# E above lowest polymorph, meV per atom: 0.0
# Total moment, Bohr magnetons per cell: 0.00
data_KCaO
_symmetry_space_group_name_H-M 'P 4/n m m'
_symmetry_Int_Tables_number 129
_cell_length_a 4.536
_cell_length_b 4.536
_cell_length_c 10.054
_cell_angle_alpha 90.00
_cell_angle_beta 90.00
_cell_angle_gamma 90.00
loop_
_symmetry_equiv_pos_as_xyz
'x,y,z'
'-x,-y,-z'
'-y+1/2,x,z'
'y+1/2,-x,-z'
'-x+1/2,-y+1/2,z'
'x+1/2,y+1/2,-z'
'y,-x+1/2,z'
'-y,x+1/2,-z'
'x+1/2,-y,-z'
'-x+1/2,y,z'
'-y,-x,-z'
'y,x,z'
'-x,y+1/2,-z'
'x,-y+1/2,z'
'y+1/2,x+1/2,-z'
'-y+1/2,-x+1/2,z'
loop_
_atom_site_label
_atom_site_type_symbol
_atom_site_fract_x
_atom_site_fract_y
_atom_site_fract_z
K1 K 0.250 0.250 0.170
Ca1 Ca 0.250 0.750 0.500
O1 O 0.250 0.250 0.450

---

No. 12
# ErMgGe2 (PBE-GGA, relaxed)
# DFT total energy, eV per atom: -4.218
# N(E_F), states/eV per cell: 5.88
# E above lowest polymorph, meV per atom: 91.8
# Total moment, Bohr magnetons per cell: 0.00
# E_form, eV/atom: -0.370
data_ErMgGe2
_symmetry_space_group_name_H-M 'R -3 m'
_symmetry_Int_Tables_number 166
_symmetry_space_group_name_Hall '-R 3 2"'
_cell_length_a 4.5014
_cell_length_b 4.5014
_cell_length_c 14.6063
_cell_angle_alpha 90.00
_cell_angle_beta 90.00
_cell_angle_gamma 120.00
loop_
_atom_site_label
_atom_site_type_symbol
_atom_site_fract_x
_atom_site_fract_y
_atom_site_fract_z
Er1 Er 0.0000 0.0000 0.0000
Mg1 Mg 0.0000 0.0000 0.5000
Ge1 Ge 0.0000 0.0000 0.2399